# V2FeReO8

A relaxed V2FeReO8 crystal (GGA+U, Alexandria via LeMat-Bulk).

Structure (CIF):
```
data_V2FeReO8
_chemical_formula_sum 'V4 Fe2 Re2 O16'
_cell_length_a 6.488
_cell_length_b 6.525
_cell_length_c 6.105
_cell_angle_alpha 90.00
_cell_angle_beta 90.00
_cell_angle_gamma 90.00
_space_group_name_H-M_alt 'C m m m'
_space_group_IT_number 65
_space_group_name_Hall '-C 2 2'
loop_
_atom_site_label
_atom_site_type_symbol
_atom_site_fract_x
_atom_site_fract_y
_atom_site_fract_z
V1 V 0.000 0.000 0.242
Fe1 Fe 0.000 0.500 0.000
Re1 Re 0.000 0.500 0.500
O1 O 0.000 0.298 0.265
O2 O 0.194 0.000 0.000
O3 O 0.202 0.000 0.500
```

Output
VASP energy = -7.79 eV per atom
density of states at the Fermi level = 4.220 states/eV per cell